Crystalline Li3VCrP2H2O10 at its relaxed geometry, computed with PBE+U. Values from VASP.

The magnetic moment is 6.0 Bohr magnetons per cell. The space group is P1. Its total energy is -6.108 eV per atom. The calculation puts the calculated volume at 229.3 Å³ per cell. The offset from the most stable computed form comes out at 0.196 eV per atom.

The structure in Quantum ESPRESSO input format:
```
&SYSTEM
  ibrav = 0, nat = 19, ntyp = 6
/
ATOMIC_SPECIES
Li 6.94 Li.upf
V 50.94 V.upf
Cr 52.00 Cr.upf
P 30.97 P.upf
H 1.01 H.upf
O 16.00 O.upf
CELL_PARAMETERS angstrom
5.2137 0.0000 0.0000
0.5054 6.0350 0.0000
0.9768 1.3201 7.2892
ATOMIC_POSITIONS crystal
Li 0.0000 0.0000 0.0000
Li 0.0528 0.4660 0.1549
Li 0.5730 0.7159 0.8995
V 0.5138 0.5931 0.3711
Cr 0.8501 0.2872 0.6644
P 0.3698 0.0395 0.5798
P 0.4896 0.2429 0.0973
H 0.2446 0.0448 0.4234
H 0.6232 0.1401 0.2440
O 0.1464 0.6162 0.4502
O 0.1626 0.0704 0.7406
O 0.2275 0.1484 0.1043
O 0.4334 0.4932 0.1254
O 0.5311 0.8136 0.6142
O 0.5354 0.2541 0.5335
O 0.6862 0.2248 0.9273
O 0.7179 0.7964 0.1950
O 0.8607 0.7162 0.0308
O 0.9626 0.4580 0.4160
```